(1)
! NdDy2Mg2 | Alexandria | GGA-PBE | optimized geometry; values from VASP
&SYSTEM
  ibrav = 0, nat = 10, ntyp = 3
/
ATOMIC_SPECIES
Nd 144.24 Nd.upf
Dy 162.50 Dy.upf
Mg 24.30 Mg.upf
CELL_PARAMETERS angstrom
9.007 0.000 0.000
0.000 9.007 0.000
0.000 0.000 3.626
ATOMIC_POSITIONS angstrom
Nd 0.000 0.000 0.000
Nd 4.504 4.504 0.000
Dy 1.186 3.318 0.000
Dy 3.318 7.821 0.000
Dy 5.690 1.186 0.000
Dy 7.821 5.690 0.000
Mg 1.491 5.994 1.813
Mg 3.013 1.491 1.813
Mg 5.994 7.517 1.813
Mg 7.517 3.013 1.813
! - E_form (meV per atom) = 47.4
! - offset from the most stable computed form (eV/atom) = 0.116
! - energy (eV/atom) = -3.385
! - space group = P4/mbm

=====

(2)
! Nd3Dy6YEr2 | Alexandria | GGA-PBE | optimized geometry; values from VASP
&SYSTEM
  ibrav = 0, nat = 12, ntyp = 4
/
ATOMIC_SPECIES
Nd 144.24 Nd.upf
Dy 162.50 Dy.upf
Y 88.91 Y.upf
Er 167.26 Er.upf
CELL_PARAMETERS angstrom
3.099 -5.364 0.000
3.099 5.364 0.000
-2.059 0.000 11.653
ATOMIC_POSITIONS angstrom
Nd 0.000 0.000 0.000
Nd 3.099 1.789 0.000
Nd 3.099 -1.789 0.000
Dy 1.029 1.793 2.959
Dy 0.001 0.000 8.693
Dy 1.029 -1.793 2.959
Dy 3.109 1.793 8.693
Dy 4.137 0.000 2.960
Dy 3.109 -1.793 8.693
Y 2.069 0.000 5.826
Er 2.069 3.576 5.826
Er 2.069 -3.576 5.826
! - E_form (meV per atom) = 19.3
! - energy (eV/atom) = -4.773
! - space group = C2/m

=====

E_form of number 1 (NdDy2Mg2)?
47.4 meV per atom